A plane-wave DFT calculation with GGA-PBE was carried out for a geometry-optimized Sr2CoMo structure.

Summary:
Formation enthalpy at 0 K   1.170 eV/atom
Volume   24.55 A^3/atom

Cell and atoms, written as extended XYZ:
```
4
Lattice="5.749 0.024 0.000 -1.959 5.405 0.000 0.000 0.000 3.156" Properties=species:S:1:pos:R:3 pbc="T T T"
Co 2.875 0.012 1.578
Mo -0.980 2.703 1.578
Sr 0.000 0.000 0.000
Sr 1.895 2.715 0.000
```